The following is a PBE with a Hubbard U calculation of a geometry-optimized Pm2TlCrO6 structure, from Alexandria.

```
10
Lattice="5.452 0.000 0.000 0.000 5.452 0.000 0.000 0.000 5.127" Properties=species:S:1:pos:R:3 pbc="T T T"
Pm 0.000 2.726 0.000
Pm 2.726 0.000 0.000
Tl 0.000 0.000 2.822
Cr 2.726 2.726 3.133
O 0.000 0.000 0.717
O 1.415 1.415 3.794
O 1.415 4.036 3.794
O 2.726 2.726 1.177
O 4.036 1.415 3.794
O 4.036 4.036 3.794
```

Properties
As for the space group: P4mm, No. 99. Its magnetic moment is 3.00 μB per cell. As for the total energy: -7.048 eV per atom.